(1)
# AcFePH

An optimized crystal structure of AcFePH (PBE, Alexandria via LeMat-Bulk).

As for the total DFT energy (no corrections): -6.165 eV per atom.

Cell lengths 3.909, 3.909, 8.620 Å; angles 90.00, 90.00, 90.00 degrees
Positions (direct):
Ac  0.500  0.000  0.688
Ac  0.000  0.500  0.312
P  0.000  0.500  0.872
P  0.500  0.000  0.128
H  0.500  0.500  0.500
H  0.000  0.000  0.500
Fe  0.000  0.000  0.000
Fe  0.500  0.500  0.000

---

(2)
# Mg4Ga5Cu3

An optimized crystal structure of Mg4Ga5Cu3 (PBE, Alexandria via LeMat-Bulk).

Its formation energy from the elements is -0.0827 eV/atom.

Cell lengths 4.772, 5.462, 9.325 Å; angles 92.46, 99.64, 66.22 degrees
Positions (direct):
Cu  0.500  0.500  0.500
Cu  0.819  0.573  0.744
Cu  0.181  0.427  0.256
Mg  0.132  0.705  0.002
Mg  0.897  0.022  0.659
Mg  0.868  0.295  0.998
Mg  0.103  0.978  0.341
Ga  0.458  0.976  0.858
Ga  0.000  0.500  0.500
Ga  0.542  0.024  0.142
Ga  0.379  0.452  0.753
Ga  0.621  0.548  0.247

---

no.,size of the total moment (μB/f.u.)
1,0.000
2,0.000